1.
This record from Alexandria describes a relaxed LaY2Ni crystal. The functional is PBE.

Its magnetic moment is 0.00 μB/f.u. For the electronic total energy, the calculation gives -45.73 eV per cell. For the energy of formation from the pure elements, the calculation gives 0.1928 eV/atom. Its density of states at the Fermi level is 14.04 states/eV per cell. As for the space group: I-4m2 (119). The distance to the lowest polymorph of the same formula is 0.409 eV/atom.

a = 4.523 Å, b = 4.523 Å, c = 10.246 Å
α = 90.00°, β = 90.00°, γ = 90.00°
Fractional coordinates of all 8 atoms:
La 0.000 0.000 0.000
La 0.500 0.500 0.500
Y 0.000 0.000 0.500
Y 0.000 0.500 0.250
Y 0.500 0.000 0.750
Y 0.500 0.500 0.000
Ni 0.000 0.500 0.750
Ni 0.500 0.000 0.250

2.
This record from Alexandria describes a relaxed BaPC2S crystal. The functional is PBE.

Its magnetic moment is 0.00 μB/f.u. For the electronic total energy, the calculation gives -21.51 eV per cell. The uncorrected formation energy is 1.68 eV/atom. Its density of states at the Fermi level is 4.15 states/eV per cell. As for the space group: P4/mmm (123).

a = 4.294 Å, b = 4.294 Å, c = 4.626 Å
α = 90.00°, β = 90.00°, γ = 90.00°
Fractional coordinates of all 5 atoms:
Ba 0.000 0.000 0.000
P 0.500 0.500 0.000
C 0.000 0.500 0.500
C 0.500 0.000 0.500
S 0.500 0.500 0.500

3.
This record from Alexandria describes a relaxed FeNi2Br crystal. The functional is PBE.

Its magnetic moment is 4.50 μB/f.u. For the electronic total energy, the calculation gives -20.60 eV per cell. The uncorrected formation energy is 0.27 eV/atom. Its density of states at the Fermi level is 2.43 states/eV per cell. As for the space group: Pmmm (47). The distance to the lowest polymorph of the same formula is 0.000 eV/atom.

a = 3.025 Å, b = 3.150 Å, c = 6.513 Å
α = 90.00°, β = 90.00°, γ = 90.00°
Fractional coordinates of all 4 atoms:
Fe 0.000 0.000 0.000
Ni 0.500 0.500 0.187
Ni 0.500 0.500 0.813
Br 0.000 0.500 0.500

4.
This record from Alexandria describes a relaxed TbDy3Au2 crystal. The functional is PBE.

Its magnetic moment is 0.00 μB/f.u. For the electronic total energy, the calculation gives -55.44 eV per cell. For the energy of formation from the pure elements, the calculation gives -0.4546 eV/atom. Its density of states at the Fermi level is 16.46 states/eV per cell. As for the space group: Ibam (72). The distance to the lowest polymorph of the same formula is 0.179 eV/atom.

a = 8.598 Å, b = 8.598 Å, c = 8.598 Å
α = 131.62°, β = 72.35°, γ = 129.73°
Fractional coordinates of all 12 atoms:
Tb 0.000 0.000 0.000
Tb 0.500 0.500 0.000
Dy 0.017 0.250 0.767
Dy 0.250 0.750 0.500
Dy 0.483 0.250 0.233
Dy 0.517 0.750 0.767
Dy 0.750 0.250 0.500
Dy 0.983 0.750 0.233
Au 0.142 0.705 0.847
Au 0.358 0.205 0.563
Au 0.642 0.795 0.437
Au 0.858 0.295 0.153

5.
This record from Alexandria describes a relaxed TcOsPb2 crystal. The functional is PBE.

Its magnetic moment is 0.00 μB/f.u. For the electronic total energy, the calculation gives -101.61 eV per cell. For the energy of formation from the pure elements, the calculation gives 0.9022 eV/atom. Its density of states at the Fermi level is 19.22 states/eV per cell. As for the space group: Fm-3m (225). The distance to the lowest polymorph of the same formula is 0.539 eV/atom.

a = 6.707 Å, b = 6.707 Å, c = 6.707 Å
α = 90.00°, β = 90.00°, γ = 90.00°
Fractional coordinates of all 16 atoms:
Tc 0.000 0.000 0.000
Tc 0.000 0.500 0.500
Tc 0.500 0.000 0.500
Tc 0.500 0.500 0.000
Os 0.000 0.000 0.500
Os 0.000 0.500 0.000
Os 0.500 0.000 0.000
Os 0.500 0.500 0.500
Pb 0.250 0.250 0.250
Pb 0.250 0.250 0.750
Pb 0.250 0.750 0.250
Pb 0.250 0.750 0.750
Pb 0.750 0.250 0.250
Pb 0.750 0.250 0.750
Pb 0.750 0.750 0.250
Pb 0.750 0.750 0.750

6.
This record from Alexandria describes a relaxed Ru2Se crystal. The functional is PBE.

Its magnetic moment is 0.00 μB/f.u. For the electronic total energy, the calculation gives -41.66 eV per cell. The uncorrected formation energy is 0.40 eV/atom. Its density of states at the Fermi level is 4.74 states/eV per cell. As for the space group: P6_3/mmc (194). The distance to the lowest polymorph of the same formula is 0.340 eV/atom.

a = 4.270 Å, b = 4.270 Å, c = 5.592 Å
α = 90.00°, β = 90.00°, γ = 120.00°
Fractional coordinates of all 6 atoms:
Ru 0.000 0.000 0.000
Ru 0.000 0.000 0.500
Ru 0.333 0.667 0.250
Ru 0.667 0.333 0.750
Se 0.333 0.667 0.750
Se 0.667 0.333 0.250

7.
This record from Alexandria describes a relaxed KPmCdTe3 crystal. The functional is PBE.

Its magnetic moment is 0.00 μB/f.u. For the electronic total energy, the calculation gives -45.15 eV per cell. The uncorrected formation energy is -1.06 eV/atom. Its density of states at the Fermi level is 0.00 states/eV per cell. As for the space group: P2_1/m (11).

a = 9.613 Å, b = 4.574 Å, c = 10.827 Å
α = 90.00°, β = 106.84°, γ = 90.00°
Fractional coordinates of all 12 atoms:
K 0.211 0.250 0.238
K 0.789 0.750 0.762
Pm 0.325 0.750 0.862
Pm 0.675 0.250 0.138
Cd 0.085 0.250 0.608
Cd 0.915 0.750 0.392
Te 0.096 0.250 0.870
Te 0.231 0.750 0.538
Te 0.458 0.750 0.161
Te 0.542 0.250 0.839
Te 0.769 0.250 0.462
Te 0.904 0.750 0.130

8.
This record from Alexandria describes a relaxed RbSiAg2 crystal. The functional is PBE.

Its magnetic moment is 0.00 μB/f.u. For the electronic total energy, the calculation gives -45.69 eV per cell. The uncorrected formation energy is 0.17 eV/atom. Its density of states at the Fermi level is 19.46 states/eV per cell. As for the space group: I4_1/amd (141). The distance to the lowest polymorph of the same formula is 0.078 eV/atom.

a = 5.675 Å, b = 5.675 Å, c = 16.166 Å
α = 90.00°, β = 90.00°, γ = 90.00°
Fractional coordinates of all 16 atoms:
Rb 0.000 0.250 0.375
Rb 0.000 0.750 0.625
Rb 0.500 0.250 0.125
Rb 0.500 0.750 0.875
Si 0.000 0.250 0.875
Si 0.000 0.750 0.125
Si 0.500 0.250 0.625
Si 0.500 0.750 0.375
Ag 0.000 0.000 0.000
Ag 0.000 0.500 0.000
Ag 0.250 0.250 0.750
Ag 0.250 0.750 0.250
Ag 0.500 0.000 0.500
Ag 0.500 0.500 0.500
Ag 0.750 0.250 0.750
Ag 0.750 0.750 0.250